This record from Alexandria via LeMat-Bulk describes a relaxed structure of K3Rb2UTe6. The functional is GGA-PBE.

abc: 8.7928 8.7928 8.2855
angles: 100.94 100.94 119.16
Site moments in Bohr magnetons follow the coordinates.
Fractional positions:
K 0.8151 0.1849 0.5000  0.00
K 0.1849 0.8151 0.5000  0.00
K 0.5000 0.5000 0.5000  0.00
Rb 0.6629 0.3371 0.0000  0.00
Rb 0.3371 0.6629 0.0000  0.00
Te 0.6491 0.9272 0.7796  0.08
Te 0.9272 0.6491 0.7796  0.08
Te 0.0728 0.3509 0.2204  0.08
Te 0.3509 0.0728 0.2204  0.08
Te 0.8168 0.8168 0.2293  0.11
Te 0.1832 0.1832 0.7707  0.11
U 0.0000 0.0000 0.0000  -0.26

Calculated values
Raw formation energy (eV/atom): -0.84
Energy (eV/f.u.): -45.45
Total moment (μB/atom): 0.0648
SG: C2/m, No. 12

=====

This record from Alexandria via LeMat-Bulk describes a relaxed structure of KRb2U3Te8. The functional is GGA-PBE.

abc: 9.1391 9.1389 10.2932
angles: 63.65 63.65 60.00
Site moments in Bohr magnetons follow the coordinates.
Fractional positions:
Te 0.2402 0.6994 0.8203  -0.09
Te 0.2710 0.2710 0.1871  -0.07
Te 0.6994 0.2402 0.8203  -0.09
Te 0.7593 0.2952 0.1862  -0.09
Te 0.7593 0.7593 0.1862  -0.09
Te 0.7297 0.7297 0.8109  -0.07
Te 0.2952 0.7593 0.1862  -0.09
Te 0.2402 0.2401 0.8203  -0.09
U 0.4998 0.4998 0.0023  1.99
U 0.4998 0.9981 0.0023  1.99
U 0.9981 0.4998 0.0023  1.99
Rb 0.1372 0.1372 0.5885  0.00
Rb 0.4993 0.4993 0.5020  0.00
K 0.8643 0.8643 0.4070  0.00

Calculated values
Raw formation energy (eV/atom): -0.75
Energy (eV/f.u.): -72.58
Total moment (μB/atom): 0.3571
SG: R3m, No. 160

=====

This record from Alexandria via LeMat-Bulk describes a relaxed structure of KRb2UTe4. The functional is GGA-PBE.

abc: 4.6890 8.7939 8.5678
angles: 72.57 90.00 90.00
Site moments in Bohr magnetons follow the coordinates.
Fractional positions:
K 0.5000 0.5000 0.0000  0.00
Te 0.5000 0.6943 0.3009  -0.07
Te 0.5000 0.3057 0.6991  -0.07
Te 0.0000 0.7033 0.7149  -0.08
Te 0.0000 0.2967 0.2851  -0.08
U 0.0000 0.5000 0.5000  1.51
Rb 0.5000 0.0000 0.5000  0.00
Rb 0.0000 0.0000 0.0000  0.00

Calculated values
Raw formation energy (eV/atom): -0.89
Energy (eV/f.u.): -34.01
Total moment (μB/atom): 0.1237
SG: P2/m, No. 10

=====

This record from Alexandria via LeMat-Bulk describes a relaxed structure of KRb2VTe4. The functional is GGA-PBE.

abc: 8.5439 7.5830 7.5830
angles: 71.50 55.71 55.71
Fractional positions:
Te 0.5069 0.0000 0.3292
Te 0.8362 0.0000 0.6708
Te 0.1638 0.3292 0.0000
Te 0.4931 0.6708 0.0000
Rb 0.5000 0.5000 0.5000
Rb 0.0000 0.5000 0.5000
V 0.5000 0.0000 0.0000
K 0.0000 0.0000 0.0000

Calculated values
Raw formation energy (eV/atom): -0.72
Energy (eV/f.u.): -30.47
Total moment (μB/atom): 0.0000
SG: I-42m, No. 121

=====

This record from Alexandria via LeMat-Bulk describes a relaxed structure of KRbZnTe2. The functional is GGA-PBE.

abc: 7.5568 5.8766 8.7210
angles: 90.00 90.00 90.00
Fractional positions:
Zn 0.0000 0.5000 0.0000
Zn 0.0000 0.0000 0.0000
Te 0.1950 0.7500 0.7796
Te 0.8050 0.2500 0.2204
Te 0.1950 0.7500 0.2204
Te 0.8050 0.2500 0.7796
Rb 0.1971 0.2500 0.5000
Rb 0.8029 0.7500 0.5000
K 0.3978 0.2500 0.0000
K 0.6022 0.7500 0.0000

Calculated values
Raw formation energy (eV/atom): -0.60
Energy (eV/f.u.): -12.60
Total moment (μB/atom): 0.0000
SG: Pmma, No. 51

=====

This record from Alexandria via LeMat-Bulk describes a relaxed structure of KRbZrTe2. The functional is GGA-PBE.

abc: 6.3626 5.4127 6.3626
angles: 90.00 90.00 90.00
Site moments in Bohr magnetons follow the coordinates.
Fractional positions:
Te 0.0000 0.0000 0.5000  -0.09
Te 0.5000 0.0000 0.0000  -0.09
K 0.0000 0.5000 0.0000  0.01
Zr 0.5000 0.5000 0.5000  1.47
Rb 0.0000 0.0000 0.0000  0.00

Calculated values
Raw formation energy (eV/atom): 0.69
Energy (eV/f.u.): -13.46
Total moment (μB/atom): 0.4000
SG: P4/mmm, No. 123

=====

This record from Alexandria via LeMat-Bulk describes a relaxed structure of K2RbTh. The functional is GGA-PBE.

abc: 3.8076 3.8076 16.4612
angles: 83.36 83.36 60.00
Fractional positions:
K 0.0783 0.0783 0.7651
K 0.9217 0.9217 0.2349
Th 0.0000 0.0000 0.0000
Rb 0.5000 0.5000 0.5000

Calculated values
Energy (eV/f.u.): -8.29
Total moment (μB/atom): 0.0030
SG: R-3m, No. 166
DFT formation energy (eV per atom): 0.57

=====

This record from Alexandria via LeMat-Bulk describes a relaxed structure of KRbTi2. The functional is GGA-PBE.

abc: 9.7241 9.7241 7.4437
angles: 49.22 49.22 90.00
Fractional positions:
Ti 0.1248 0.6250 0.2500
Ti 0.3750 0.3748 0.7500
Ti 0.8750 0.8752 0.7500
Ti 0.6252 0.1250 0.2500
K 0.2500 0.7500 0.5000
K 0.5000 0.5000 0.0000
Rb 0.0000 0.0000 0.0000
Rb 0.7500 0.2500 0.5000

Calculated values
Energy (eV/f.u.): -11.19
Excess energy over the best structure of this formula in the dataset (eV/f.u.): 0.07
Total moment (μB/atom): 0.0012
SG: I-42d, No. 122
DFT formation energy (eV per atom): 1.67

=====

Q: Number 6 is which compound?
A: KRbZrTe2